PbAuN2F: relaxed, GGA-PBE.

Its uncorrected formation energy is 0.79 eV/atom. The uncorrected energy is -4.3162 eV/atom. As for the relative energy among the computed polymorphs: 0.00 eV/f.u.

Structure (CIF):
```
data_PbAuN2F
_chemical_formula_sum 'Pb1 Au1 N2 F1'
_symmetry_space_group_name_H-M 'P 4/m m m'
_symmetry_Int_Tables_number 123
_symmetry_space_group_name_Hall '-P 4 2'
_cell_length_a 3.996
_cell_length_b 3.996
_cell_length_c 5.169
_cell_angle_alpha 90.00
_cell_angle_beta 90.00
_cell_angle_gamma 90.00
loop_
_atom_site_label
_atom_site_fract_x
_atom_site_fract_y
_atom_site_fract_z
Pb1 0.000 0.000 0.000
Au1 0.500 0.500 0.500
N1 0.000 0.500 0.500
F1 0.500 0.500 0.000
```